The following is a PBE-GGA calculation of a geometry-optimized MgReCl2 structure, from the Alexandria database.

Polymorph energy (0 for the lowest one) ... 1036.4 meV/atom
Formation energy (no corrections) ... 886 meV per atom
D(E_F) ... 0.2482 states/eV per atom
Space-group type ... F-43m (216)
Spin magnetization ... 5.03 μB per formula unit
Calculated total energy ... -14.19 eV for the cell shown

a = 4.9599 Å, b = 4.9599 Å, c = 4.9599 Å
α = 60.00°, β = 60.00°, γ = 60.00°
Closest atoms and distances in Å follow each position.
Positions (direct):
Cl 0.0000 0.0000 0.0000  4 Cl 3.04, 4 Re 3.04
Cl 0.2500 0.2500 0.2500  4 Cl 3.04, 4 Mg 3.04
Mg 0.5000 0.5000 0.5000  4 Re 3.04, 4 Cl 3.04
Re 0.7500 0.7500 0.7500  4 Cl 3.04, 4 Mg 3.04